The following is a DFT calculation (PBE-GGA) of a relaxed structure of HfMnTcRh.

Structure (CIF):
```
data_HfMnTcRh
_chemical_formula_sum 'Hf4 Mn4 Tc4 Rh4'
_space_group_name_H-M_alt 'F -4 3 m'
_space_group_IT_number 216
_space_group_name_Hall 'F -4 2 3'
_cell_length_a 6.2961
_cell_length_b 6.2961
_cell_length_c 6.2961
_cell_angle_alpha 90.00
_cell_angle_beta 90.00
_cell_angle_gamma 90.00
loop_
_atom_site_label
_atom_site_fract_x
_atom_site_fract_y
_atom_site_fract_z
Hf1 0.0000 0.0000 0.0000
Mn1 0.0000 0.0000 0.5000
Tc1 0.2500 0.2500 0.7500
Rh1 0.2500 0.2500 0.2500
```

Values from the calculation:
DOS(E_F) ... 1.07 states/eV per atom
ΔE_f ... -0.346 eV/atom
Raw total energy ... -9.5562 eV per atom